No. 1
Sc2Cd2In after structural relaxation. Source: the Alexandria database, functional PBE-GGA.

a = 8.0526 Å, b = 8.0526 Å, c = 3.7208 Å
α = 90.00°, β = 90.00°, γ = 90.00°
Atoms (fractional coordinates):
Sc  0.3487  0.8487  0.0000
Sc  0.8487  0.6513  0.0000
Sc  0.6513  0.1513  0.0000
Sc  0.1513  0.3487  0.0000
Cd  0.1462  0.6462  0.5000
Cd  0.6462  0.8538  0.5000
Cd  0.8538  0.3538  0.5000
Cd  0.3538  0.1462  0.5000
In  0.0000  0.0000  0.0000
In  0.5000  0.5000  0.0000

Summary:
V in Å³/atom: 24.127
Density of states at the Fermi level in states/eV/f.u.: 3.914
Final energy in eV per atom: -3.5331



No. 2
ScCdIn2 after structural relaxation. Source: the Alexandria database, functional PBE-GGA.

a = 3.2950 Å, b = 3.2950 Å, c = 9.7723 Å
α = 90.00°, β = 90.00°, γ = 114.53°
Atoms (fractional coordinates):
Cd  0.5000  0.5000  0.7500
In  0.0000  0.0000  0.0003
In  0.0000  0.0000  0.4997
Sc  0.5000  0.5000  0.2500

Summary:
V in Å³/atom: 24.131
Density of states at the Fermi level in states/eV/f.u.: 1.756
Final energy in eV per atom: -3.2557



No. 3
ScCdIn after structural relaxation. Source: the Alexandria database, functional PBE-GGA.

a = 6.4737 Å, b = 4.5463 Å, c = 9.1418 Å
α = 90.00°, β = 90.00°, γ = 90.00°
Atoms (fractional coordinates):
Sc  0.3607  0.2500  0.4075
Sc  0.1393  0.7500  0.9075
Sc  0.6393  0.7500  0.5925
Sc  0.8607  0.2500  0.0925
Cd  0.8596  0.2500  0.4238
Cd  0.6404  0.7500  0.9238
Cd  0.1404  0.7500  0.5762
Cd  0.3596  0.2500  0.0762
In  0.9024  0.2500  0.7521
In  0.5976  0.7500  0.2521
In  0.0976  0.7500  0.2479
In  0.4024  0.2500  0.7479

Summary:
V in Å³/atom: 22.422
Density of states at the Fermi level in states/eV/f.u.: 2.696
Final energy in eV per atom: -3.5977



No. 4
ScCdIn2 after structural relaxation. Source: the Alexandria database, functional PBE-GGA.

a = 10.1737 Å, b = 10.1737 Å, c = 10.1737 Å
α = 18.94°, β = 18.94°, γ = 18.94°
Atoms (fractional coordinates):
Cd  0.2500  0.2500  0.2500
In  0.0009  0.0009  0.0009
In  0.4991  0.4991  0.4991
Sc  0.7500  0.7500  0.7500

Summary:
V in Å³/atom: 24.248
Density of states at the Fermi level in states/eV/f.u.: 3.950
Final energy in eV per atom: -3.2860



No. 5
Sc2CdIn4 after structural relaxation. Source: the Alexandria database, functional PBE-GGA.

a = 6.1161 Å, b = 6.1161 Å, c = 6.1161 Å
α = 102.06°, β = 113.30°, γ = 113.30°
Atoms (fractional coordinates):
Sc  0.5000  0.5000  0.0000
Sc  0.5000  0.0000  0.5000
Cd  0.0000  0.0000  0.0000
In  0.5000  0.0000  0.0000
In  0.5000  0.5000  0.5000
In  0.0000  0.0000  0.5000
In  0.0000  0.5000  0.0000

Summary:
V in Å³/atom: 24.849
Density of states at the Fermi level in states/eV/f.u.: 3.164
Final energy in eV per atom: -3.7141



No. 6
ScCdInSn after structural relaxation. Source: the Alexandria database, functional PBE-GGA.

a = 4.3489 Å, b = 4.4409 Å, c = 4.7486 Å
α = 90.00°, β = 90.00°, γ = 90.00°
Atoms (fractional coordinates):
Sc  0.0000  0.0000  0.0000
Cd  0.0000  0.5000  0.5000
In  0.5000  0.0000  0.5000
Sn  0.5000  0.5000  0.0000

Summary:
V in Å³/atom: 22.927
Density of states at the Fermi level in states/eV/f.u.: 2.413
Final energy in eV per atom: -3.8154



No. 7
SrScCdIn after structural relaxation. Source: the Alexandria database, functional PBE-GGA.

a = 5.3725 Å, b = 5.3725 Å, c = 5.3725 Å
α = 60.00°, β = 60.00°, γ = 60.00°
Atoms (fractional coordinates):
Sc  0.2500  0.2500  0.2500
Sr  0.7500  0.7500  0.7500
Cd  0.5000  0.5000  0.5000
In  0.0000  0.0000  0.0000

Summary:
V in Å³/atom: 27.413
Density of states at the Fermi level in states/eV/f.u.: 2.480
Final energy in eV per atom: -3.1849



No. 8
ThSc2Cd2In2 after structural relaxation. Source: the Alexandria database, functional PBE-GGA.

a = 4.9076 Å, b = 4.9076 Å, c = 8.7948 Å
α = 73.80°, β = 73.80°, γ = 60.00°
Atoms (fractional coordinates):
Th  0.0000  0.0000  0.0000
Sc  0.1353  0.1353  0.5940
Sc  0.8647  0.8647  0.4060
Cd  0.5643  0.5643  0.3071
Cd  0.4357  0.4357  0.6929
In  0.7370  0.7370  0.7889
In  0.2630  0.2630  0.2111

Summary:
V in Å³/atom: 24.809
Density of states at the Fermi level in states/eV/f.u.: 6.816
Final energy in eV per atom: -4.0945



No. 9
Tm2ScCd2In2 after structural relaxation. Source: the Alexandria database, functional PBE-GGA.

a = 4.8854 Å, b = 4.8854 Å, c = 9.0718 Å
α = 74.38°, β = 74.38°, γ = 60.00°
Atoms (fractional coordinates):
Tm  0.1270  0.1270  0.6190
Tm  0.8730  0.8730  0.3810
Sc  0.0000  0.0000  0.0000
Cd  0.6106  0.6106  0.1682
Cd  0.3894  0.3894  0.8318
In  0.7409  0.7409  0.7772
In  0.2591  0.2591  0.2228

Summary:
V in Å³/atom: 25.459
Density of states at the Fermi level in states/eV/f.u.: 4.385
Final energy in eV per atom: -3.4073



No. 10
TmScCdIn after structural relaxation. Source: the Alexandria database, functional PBE-GGA.

a = 5.1289 Å, b = 5.1289 Å, c = 5.1289 Å
α = 60.00°, β = 60.00°, γ = 60.00°
Atoms (fractional coordinates):
Sc  0.5000  0.5000  0.5000
Cd  0.7500  0.7500  0.7500
Tm  0.0000  0.0000  0.0000
In  0.2500  0.2500  0.2500

Summary:
V in Å³/atom: 23.850
Density of states at the Fermi level in states/eV/f.u.: 4.088
Final energy in eV per atom: -3.9858



No. 11
TmSc2Cd2In2 after structural relaxation. Source: the Alexandria database, functional PBE-GGA.

a = 4.8567 Å, b = 4.8567 Å, c = 8.7261 Å
α = 73.84°, β = 73.84°, γ = 60.00°
Atoms (fractional coordinates):
Tm  0.0000  0.0000  0.0000
Sc  0.1356  0.1356  0.5932
Sc  0.8644  0.8644  0.4068
Cd  0.5668  0.5668  0.2997
Cd  0.4332  0.4332  0.7003
In  0.7345  0.7345  0.7966
In  0.2655  0.2655  0.2034

Summary:
V in Å³/atom: 24.114
Density of states at the Fermi level in states/eV/f.u.: 5.513
Final energy in eV per atom: -3.6913



No. 12
YScCd2In after structural relaxation. Source: the Alexandria database, functional PBE-GGA.

a = 5.7384 Å, b = 5.4418 Å, c = 5.7384 Å
α = 90.00°, β = 90.00°, γ = 90.00°
Atoms (fractional coordinates):
Y  0.0000  0.0000  0.0000
Sc  0.0000  0.5000  0.0000
Cd  0.0000  0.0000  0.5000
Cd  0.5000  0.0000  0.0000
In  0.5000  0.5000  0.5000

Summary:
V in Å³/atom: 35.839
Density of states at the Fermi level in states/eV/f.u.: 8.113
Final energy in eV per atom: -2.6249



Taking the records one at a time from the top gives energy of formation values of -2.0; -1.7; -6.2; -2.4; -4.8; -7.3; -6.2; -4.2; -4.2; -8.6; -4.6; 19.6 kcal/mol of atoms.